6
Lattice="9.3461 0.0000 0.0000 -4.6731 8.0940 0.0000 0.0000 0.0000 4.6684" Properties=species:S:1:pos:R:3 comment="Ba5As, relaxed, DFT PBE" final_energy_ev_per_atom=-2.567 relative_energy_mev_per_atom=164.1 delta_e_f_kj_per_mol_atoms=-18.3 pbc="T T T"
Ba -3.5295 6.1133 0.0000
Ba 1.1436 1.9807 0.0000
Ba 0.0000 5.3960 2.3342
Ba 4.6731 2.6980 2.3342
Ba 7.0590 0.0000 0.0000
As 0.0000 0.0000 2.3342

***

4
Lattice="3.5740 0.0000 0.0000 0.0000 3.5740 0.0000 0.0000 0.0000 9.5892" Properties=species:S:1:pos:R:3 comment="Sr2ZrFe, relaxed, DFT PBE" final_energy_ev_per_atom=-4.798 relative_energy_mev_per_atom=0.0 delta_e_f_kj_per_mol_atoms=28.5 pbc="T T T"
Sr 0.0000 0.0000 0.0000
Sr 1.7870 1.7870 3.6141
Zr 0.0000 0.0000 6.3085
Fe 1.7870 1.7870 7.2977

***

12
Lattice="3.4897 0.0000 0.0000 -1.7449 3.0222 0.0000 0.0000 0.0000 35.0951" Properties=species:S:1:pos:R:3 comment="Tl4CdPb7, relaxed, DFT PBE" final_energy_ev_per_atom=-3.014 delta_e_f_kj_per_mol_atoms=1.4 pbc="T T T"
Tl 0.0000 2.0148 5.6624
Tl 0.0000 2.0148 14.5667
Tl 1.7449 1.0074 20.5284
Tl 1.7449 1.0074 29.4327
Cd 0.0000 0.0000 0.0000
Pb 0.0000 0.0000 8.6726
Pb 0.0000 0.0000 17.5476
Pb 0.0000 0.0000 26.4225
Pb 0.0000 2.0148 23.5095
Pb 0.0000 2.0148 32.4342
Pb 1.7449 1.0074 2.6609
Pb 1.7449 1.0074 11.5856

***

13
Lattice="5.7438 -3.1157 0.0000 5.7438 3.1157 0.0000 -1.9621 0.0000 5.1373" Properties=species:S:1:pos:R:3 comment="Bi2Pd3O8, relaxed, DFT PBE" final_energy_ev_per_atom=-5.495 formation_energy_uncorrected_ev_per_atom=-0.65 pbc="T T T"
Bi 2.1548 0.0000 0.8477
Bi 7.3708 0.0000 4.2896
Pd 4.7628 1.5810 2.5686
Pd 5.7438 0.0000 0.0000
Pd 4.7628 -1.5810 2.5686
O 0.3179 0.0000 2.2095
O 4.2302 1.4037 0.5171
O 5.2953 1.4037 4.6202
O 3.4871 0.0000 3.0400
O 6.0385 0.0000 2.0973
O 4.2302 -1.4037 0.5171
O 5.2953 -1.4037 4.6202
O 9.2076 0.0000 2.9278

***

10
Lattice="8.0856 0.0000 0.0000 0.0000 8.0856 0.0000 0.0000 0.0000 2.7627" Properties=species:S:1:pos:R:3 comment="SrTa2Ni2, relaxed, DFT PBE" final_energy_ev_per_atom=-7.066 delta_e_f_kj_per_mol_atoms=31.2 pbc="T T T"
Sr 0.0000 0.0000 0.0000
Sr 4.0428 4.0428 0.0000
Ta 1.0109 3.0319 1.3813
Ta 3.0319 7.0747 1.3813
Ta 5.0537 1.0109 1.3813
Ta 7.0747 5.0537 1.3813
Ni 1.3393 5.3821 0.0000
Ni 2.7035 1.3393 0.0000
Ni 5.3821 6.7463 0.0000
Ni 6.7463 2.7035 0.0000

***

20
Lattice="9.7661 0.0000 0.0000 0.0000 6.7770 0.0000 0.0000 0.0000 6.8028" Properties=species:S:1:pos:R:3 comment="LiMg2Hg2, relaxed, DFT PBE" final_energy_ev_per_atom=-1.353 relative_energy_mev_per_atom=3.5 delta_e_f_kj_per_mol_atoms=-20.4 pbc="T T T"
Li 1.6658 1.6943 0.0000
Li 1.6658 1.6943 3.4014
Li 8.1002 5.0828 0.0000
Li 8.1002 5.0828 3.4014
Mg 1.7124 5.0828 0.0000
Mg 1.7124 5.0828 3.4014
Mg 4.8503 1.6943 0.0000
Mg 4.8503 1.6943 3.4014
Mg 4.9158 5.0828 0.0000
Mg 4.9158 5.0828 3.4014
Mg 8.0537 1.6943 0.0000
Mg 8.0537 1.6943 3.4014
Hg 0.0455 3.4087 1.7007
Hg 0.0455 6.7569 5.1021
Hg 3.2833 0.0332 1.7007
Hg 3.2833 3.3553 5.1021
Hg 6.4828 3.4217 1.7007
Hg 6.4828 6.7439 5.1021
Hg 9.7206 0.0202 1.7007
Hg 9.7206 3.3683 5.1021

***

10
Lattice="7.2389 0.0000 0.0000 0.0000 7.2389 0.0000 0.0000 0.0000 2.7433" Properties=species:S:1:pos:R:3 comment="ScFe2Ir2, relaxed, DFT PBE" final_energy_ev_per_atom=-8.416 relative_energy_mev_per_atom=0.0 delta_e_f_kj_per_mol_atoms=-21.2 pbc="T T T"
Sc 0.0000 0.0000 0.0000
Sc 3.6194 3.6194 0.0000
Fe 0.8368 2.7826 0.0000
Fe 2.7826 6.4021 0.0000
Fe 4.4563 0.8368 0.0000
Fe 6.4021 4.4563 0.0000
Ir 1.2931 4.9126 1.3716
Ir 2.3263 1.2931 1.3716
Ir 4.9126 5.9458 1.3716
Ir 5.9458 2.3263 1.3716

***

6
Lattice="0.0000 3.7657 3.7657 3.7657 0.0000 3.7657 3.7657 3.7657 0.0000" Properties=species:S:1:pos:R:3 comment="Mg4NiPt, relaxed, DFT PBE" final_energy_ev_per_atom=-2.838 relative_energy_mev_per_atom=488.1 delta_e_f_kj_per_mol_atoms=18.9 pbc="T T T"
Mg 0.9420 0.9420 0.9420
Mg 2.8237 2.8237 0.9420
Mg 2.8237 0.9420 2.8237
Mg 0.9420 2.8237 2.8237
Ni 5.6486 5.6486 5.6486
Pt 3.7657 3.7657 3.7657

***

Please write out number 4 again, unchanged.
13
Lattice="5.7438 -3.1157 0.0000 5.7438 3.1157 0.0000 -1.9621 0.0000 5.1373" Properties=species:S:1:pos:R:3 comment="Bi2Pd3O8, relaxed, DFT PBE" final_energy_ev_per_atom=-5.495 formation_energy_uncorrected_ev_per_atom=-0.65 pbc="T T T"
Bi 2.1548 0.0000 0.8477
Bi 7.3708 0.0000 4.2896
Pd 4.7628 1.5810 2.5686
Pd 5.7438 0.0000 0.0000
Pd 4.7628 -1.5810 2.5686
O 0.3179 0.0000 2.2095
O 4.2302 1.4037 0.5171
O 5.2953 1.4037 4.6202
O 3.4871 0.0000 3.0400
O 6.0385 0.0000 2.0973
O 4.2302 -1.4037 0.5171
O 5.2953 -1.4037 4.6202
O 9.2076 0.0000 2.9278

***

- Which formula does entry 6 have?
  LiMg2Hg2